# SrCa2MnBr8 | the Alexandria database | PBE-GGA | optimized geometry
# Total magnetization, μB/atom: 0.42
# Formation energy without anion corrections, kcal/mol of atoms: -39.4
# Calculated volume, Å³/cell: 401.6
data_SrCa2MnBr8
_symmetry_space_group_name_H-M 'P 1 2/m 1'
_symmetry_Int_Tables_number 10
_symmetry_space_group_name_Hall '-P 2y'
_cell_length_a 6.644
_cell_length_b 8.712
_cell_length_c 6.939
_cell_angle_alpha 90.00
_cell_angle_beta 90.55
_cell_angle_gamma 90.00
loop_
_atom_site_label
_atom_site_type_symbol
_atom_site_fract_x
_atom_site_fract_y
_atom_site_fract_z
_atom_site_occupancy
Sr1 Sr 0.000 0.000 0.000 1
Ca1 Ca 0.500 0.262 0.500 1
Mn1 Mn 0.000 0.500 0.000 1
Br1 Br 0.226 0.278 0.163 1
Br2 Br 0.258 0.500 0.679 1
Br3 Br 0.279 0.000 0.654 1

***

# H4SBr | the Alexandria database | PBE-GGA | optimized geometry
# Relative energy among the computed polymorphs, meV per atom: 0
# Total magnetization, μB/atom: 0.00
# Calculated volume, Å³/cell: 356.1
data_H4SBr
_symmetry_space_group_name_H-M 'A m a 2'
_symmetry_Int_Tables_number 40
_symmetry_space_group_name_Hall 'A 2 -2a'
_cell_length_a 10.520
_cell_length_b 4.789
_cell_length_c 7.068
_cell_angle_alpha 90.00
_cell_angle_beta 90.00
_cell_angle_gamma 90.00
loop_
_atom_site_label
_atom_site_type_symbol
_atom_site_fract_x
_atom_site_fract_y
_atom_site_fract_z
_atom_site_occupancy
H1 H 0.144 0.213 0.000 1
H2 H 0.250 0.069 0.377 1
H3 H 0.250 0.179 0.267 1
S1 S 0.250 0.379 0.075 1
Br1 Br 0.000 0.000 0.892 1

***

# CaIrRh2 | the Alexandria database | PBE-GGA | optimized geometry
# Relative energy among the computed polymorphs, meV per atom: 377
# Total magnetization, μB/atom: 0.00
# ΔH_f (0 K), eV/atom: 0.2797
# Calculated volume, Å³/cell: 196.9
data_CaIrRh2
_symmetry_space_group_name_H-M 'R -3 m'
_symmetry_Int_Tables_number 166
_symmetry_space_group_name_Hall '-R 3 2"'
_cell_length_a 2.8759
_cell_length_b 2.8759
_cell_length_c 27.4857
_cell_angle_alpha 90.00
_cell_angle_beta 90.00
_cell_angle_gamma 120.00
loop_
_atom_site_label
_atom_site_type_symbol
_atom_site_fract_x
_atom_site_fract_y
_atom_site_fract_z
_atom_site_occupancy
Ca1 Ca 0.0000 0.0000 0.0000 1
Ir1 Ir 0.0000 0.0000 0.5000 1
Rh1 Rh 0.0000 0.0000 0.2446 1